1.
## Rb2SrSeF6 (GGA-PBE)

Data for Rb2SrSeF6 after structural relaxation.

It has space group I4/mmm (No. 139), with a = 6.2086 Å, b = 6.2086 Å, c = 11.7996 Å, α = 90.00°, β = 90.00° and γ = 90.00°. Symmetry generates all atoms from Rb at (0.0000, 0.5000, 0.2500), Sr at (0.0000, 0.0000, 0.0000), Se at (0.0000, 0.0000, 0.5000), F at (0.0000, 0.0000, 0.2004) and F at (0.2289, 0.2289, 0.5000).

For the electronic total energy, the calculation gives -4.41 eV/atom. As for the formation energy without anion corrections: -2.581 eV/atom. For the theoretical density, the calculation gives 3.30 g cm⁻³.

***

2.
## Rb2TaSeF6 (GGA-PBE)

Data for Rb2TaSeF6 after structural relaxation.

It has space group I4/mmm (No. 139), with a = 7.1749 Å, b = 7.1749 Å, c = 10.4636 Å, α = 90.00°, β = 90.00° and γ = 90.00°. Symmetry generates all atoms from Rb at (0.0000, 0.5000, 0.2500), Ta at (0.0000, 0.0000, 0.0000), Se at (0.0000, 0.0000, 0.5000), F at (0.0000, 0.0000, 0.1840) and F at (0.1896, 0.1896, 0.0000).

For the electronic total energy, the calculation gives -5.37 eV/atom. As for the formation energy without anion corrections: -2.520 eV/atom. For the theoretical density, the calculation gives 3.36 g cm⁻³.

***

3.
## Rb2TcSeF6 (GGA-PBE)

Data for Rb2TcSeF6 after structural relaxation.

It has space group I4/mmm (No. 139), with a = 6.4381 Å, b = 6.4381 Å, c = 10.4125 Å, α = 90.00°, β = 90.00° and γ = 90.00°. Symmetry generates all atoms from Rb at (0.0000, 0.5000, 0.2500), Tc at (0.0000, 0.0000, 0.0000), Se at (0.0000, 0.0000, 0.5000), F at (0.0000, 0.0000, 0.1893) and F at (0.2176, 0.2176, 0.0000).

For the electronic total energy, the calculation gives -4.63 eV/atom. As for the formation energy without anion corrections: -1.925 eV/atom. For the theoretical density, the calculation gives 3.55 g cm⁻³.

***

4.
## Rb2TeSeF6 (GGA-PBE)

Data for Rb2TeSeF6 after structural relaxation.

It has space group I4/mmm (No. 139), with a = 6.8295 Å, b = 6.8295 Å, c = 10.6454 Å, α = 90.00°, β = 90.00° and γ = 90.00°. Symmetry generates all atoms from Rb at (0.0000, 0.5000, 0.2500), Te at (0.0000, 0.0000, 0.0000), Se at (0.0000, 0.0000, 0.5000), F at (0.0000, 0.0000, 0.1957) and F at (0.2157, 0.2157, 0.0000).

For the electronic total energy, the calculation gives -3.89 eV/atom. As for the formation energy without anion corrections: -1.912 eV/atom. For the theoretical density, the calculation gives 3.29 g cm⁻³.

***

5.
## RbThSe2F (GGA-PBE)

Data for RbThSe2F after structural relaxation.

It has space group P2_1/m (No. 11), with a = 8.1894 Å, b = 4.3473 Å, c = 9.6111 Å, α = 90.00°, β = 107.39° and γ = 90.00°. Symmetry generates all atoms from Rb at (0.2097, 0.2500, 0.3077), Th at (0.3107, 0.2500, 0.8194), Se at (0.3128, 0.7500, 0.0332), Se at (0.3277, 0.7500, 0.6278) and F at (0.0316, 0.2500, 0.7599).

For the electronic total energy, the calculation gives -5.70 eV/atom. As for the formation energy without anion corrections: -2.259 eV/atom. For the theoretical density, the calculation gives 5.03 g cm⁻³.

***

6.
## RbTl2SeF (GGA-PBE)

Data for RbTl2SeF after structural relaxation.

It has space group P2_1/m (No. 11), with a = 7.7454 Å, b = 4.4284 Å, c = 9.5413 Å, α = 90.00°, β = 96.09° and γ = 90.00°. Symmetry generates all atoms from Rb at (0.2177, 0.2500, 0.4739), Tl at (0.1249, 0.2500, 0.8687), Tl at (0.3622, 0.7500, 0.1280), Se at (0.3808, 0.7500, 0.7821) and F at (0.0524, 0.7500, 0.3592).

For the electronic total energy, the calculation gives -3.45 eV/atom. As for the formation energy without anion corrections: -1.236 eV/atom. For the theoretical density, the calculation gives 6.04 g cm⁻³.

***

7.
## Rb2TlSeF (GGA-PBE)

Data for Rb2TlSeF after structural relaxation.

It has space group P4/mmm (No. 123), with a = 5.3808 Å, b = 5.3808 Å, c = 5.4223 Å, α = 90.00°, β = 90.00° and γ = 90.00°. Symmetry generates all atoms from Rb at (0.0000, 0.5000, 0.0000), Tl at (0.0000, 0.0000, 0.5000), Se at (0.5000, 0.5000, 0.5000) and F at (0.0000, 0.0000, 0.0000).

For the electronic total energy, the calculation gives -3.31 eV/atom. As for the formation energy without anion corrections: -1.376 eV/atom. For the theoretical density, the calculation gives 5.01 g cm⁻³.